A relaxed structure of BaCdPd, computed with GGA-PBE.

Computed properties:
theoretical density: 7.1 g cm⁻³
space-group type: I4mm (107)
energy relative to the elements: -347 meV per atom
VASP energy: -3.02 eV/atom

abc: 6.317 6.317 6.317
angles: 144.91 144.91 50.46
Fractional positions:
Ba 0.000 0.000 0.000
Cd 0.288 0.288 0.000
Pd 0.698 0.698 0.000